Record 1
Material: Ba3HgBi5
Method: DFT, PBE
State: optimized geometry

Cell lengths 8.8084, 8.8084, 5.0229 Å; angles 90.00, 90.00, 120.00 degrees
Last column: nearest neighbours and their distance in Å.
Atoms (fractional coordinates):
Ba 0.0000 0.3901 0.0000  1 Hg 3.44, 4 Bi 3.70
Ba 0.3901 0.0000 0.0000  1 Hg 3.44, 4 Bi 3.70
Ba 0.6099 0.6099 0.0000  1 Hg 3.44, 4 Bi 3.70
Hg 0.0000 0.0000 0.0000  6 Bi 3.39, 3 Ba 3.44
Bi 0.0000 0.7418 0.5000  2 Bi 3.32, 2 Hg 3.39
Bi 0.2582 0.2582 0.5000  2 Bi 3.32, 2 Hg 3.39
Bi 0.3333 0.6667 0.5000  3 Bi 3.32, 6 Ba 3.70
Bi 0.6667 0.3333 0.5000  3 Bi 3.32, 6 Ba 3.70
Bi 0.7418 0.0000 0.5000  2 Bi 3.32, 2 Hg 3.39

**E**: -31.12 eV per cell
**ΔH_f (0 K)**: -14.5 kcal/mol of atoms
**Theoretical density**: 8.2 g/cm³
**Crystal system**: hexagonal

***

Record 2
Material: Ba3Hg3Bi4
Method: DFT, PBE
State: optimized geometry

Cell lengths 9.7059, 9.7059, 9.7059 Å; angles 109.47, 109.47, 109.47 degrees
Last column: nearest neighbours and their distance in Å.
Atoms (fractional coordinates):
Ba 0.1250 0.7500 0.8750  4 Hg 3.43
Ba 0.2500 0.6250 0.3750  4 Hg 3.43
Ba 0.3750 0.2500 0.6250  4 Hg 3.43
Ba 0.6250 0.3750 0.2500  4 Hg 3.43
Ba 0.7500 0.8750 0.1250  4 Hg 3.43
Ba 0.8750 0.1250 0.7500  4 Hg 3.43
Hg 0.1250 0.8750 0.2500  4 Bi 3.13, 4 Ba 3.43
Hg 0.2500 0.1250 0.8750  4 Bi 3.13, 4 Ba 3.43
Hg 0.3750 0.6250 0.7500  4 Bi 3.13, 4 Ba 3.43
Hg 0.6250 0.7500 0.3750  4 Bi 3.13, 4 Ba 3.43
Hg 0.7500 0.3750 0.6250  4 Bi 3.13, 4 Ba 3.43
Hg 0.8750 0.2500 0.1250  4 Bi 3.13, 4 Ba 3.43
Bi 0.0000 0.3326 0.5000  3 Hg 3.13
Bi 0.0000 0.8326 0.5000  3 Hg 3.13
Bi 0.1674 0.1674 0.1674  3 Hg 3.13
Bi 0.3326 0.5000 0.0000  3 Hg 3.13
Bi 0.5000 0.0000 0.3326  3 Hg 3.13
Bi 0.5000 0.0000 0.8326  3 Hg 3.13
Bi 0.6674 0.6674 0.6674  3 Hg 3.13
Bi 0.8326 0.5000 0.0000  3 Hg 3.13

**E**: -56.07 eV per cell
**ΔH_f (0 K)**: -13.5 kcal/mol of atoms
**Theoretical density**: 8.7 g/cm³
**Crystal system**: cubic

***

Record 3
Material: BaHg3Bi
Method: DFT, PBE
State: optimized geometry

Cell lengths 6.7325, 7.1455, 7.1994 Å; angles 90.00, 111.10, 90.00 degrees
Last column: nearest neighbours and their distance in Å.
Atoms (fractional coordinates):
Ba 0.2375 0.2500 0.2832  10 Hg 3.67-3.94, 3 Bi 3.83-3.91
Ba 0.7625 0.7500 0.7168  10 Hg 3.67-3.94, 3 Bi 3.83-3.91
Hg 0.1658 0.7500 0.4725  4 Hg 2.95-3.10, 1 Bi 2.99
Hg 0.2388 0.0338 0.7870  3 Hg 2.95-3.10, 2 Bi 3.12-3.17
Hg 0.2388 0.4662 0.7870  3 Hg 2.95-3.10, 2 Bi 3.12-3.17
Hg 0.7612 0.5338 0.2130  3 Hg 2.95-3.10, 2 Bi 3.12-3.17
Hg 0.7612 0.9662 0.2130  3 Hg 2.95-3.10, 2 Bi 3.12-3.17
Hg 0.8342 0.2500 0.5275  4 Hg 2.95-3.10, 1 Bi 2.99
Bi 0.3272 0.7500 0.1368  5 Hg 2.99-3.17
Bi 0.6728 0.2500 0.8632  5 Hg 2.99-3.17

**Excess energy over the best structure of this formula in the dataset**: 0.02 eV per formula unit
**E**: -17.23 eV per cell
**ΔH_f (0 K)**: -8.8 kcal/mol of atoms
**Theoretical density**: 9.7 g/cm³
**Crystal system**: monoclinic

***

- Which value of E does entry 2 give?
  -56.07 eV per cell

***

- Which of these has the highest E?
  BaHg3Bi